No. 1
TiGa2W: optimized geometry, GGA-PBE.

ΔE to the lowest computed polymorph = 1.36 eV per formula unit
calculated total energy = -6.498 eV/atom
theoretical density = 9.2 g/cm3
E_form = 0.2271 eV per atom
total magnetic moment = 0.0 μB per cell

Lattice parameters (Å, degrees): 7.0072 7.0072 5.4678 90.00 90.00 90.00
Space group I-42d (No. 122)
One atom of each set of equivalent atoms:
Ti 0.0000 0.0000 0.0000 [4 per cell]
Ga 0.2482 0.7500 0.6250 [8 per cell]
W 0.0000 0.0000 0.5000 [4 per cell]



No. 2
Ti3Ga4W: optimized geometry, GGA-PBE.

calculated total energy = -6.396 eV/atom
theoretical density = 8.0 g/cm3
E_form = -0.3031 eV per atom
total magnetic moment = 0.0 μB per cell

Lattice parameters (Å, degrees): 8.4909 5.4279 5.4316 90.00 90.00 90.00
Space group Pmn2_1 (No. 31)
One atom of each set of equivalent atoms:
Ti 0.0000 0.0324 0.0000 [2 per cell]
Ti 0.2501 0.2613 0.2813 [4 per cell]
Ga 0.0000 0.5232 0.0494 [2 per cell]
Ga 0.0000 0.9849 0.5103 [2 per cell]
Ga 0.2354 0.7598 0.2791 [4 per cell]
W 0.0000 0.4778 0.5555 [2 per cell]



No. 3
TiGa2W: optimized geometry, GGA-PBE.

ΔE to the lowest computed polymorph = 0.61 eV per formula unit
calculated total energy = -6.685 eV/atom
theoretical density = 9.9 g/cm3
E_form = 0.0401 eV per atom
total magnetic moment = 0.0 μB per cell

Lattice parameters (Å, degrees): 6.2852 6.2852 6.2852 90.00 90.00 90.00
Space group Fm-3m (No. 225)
One atom of each set of equivalent atoms:
Ti 0.0000 0.0000 0.0000 [4 per cell]
Ga 0.2500 0.2500 0.2500 [8 per cell]
W 0.0000 0.0000 0.5000 [4 per cell]



No. 4
TiGa2W: optimized geometry, GGA-PBE.

ΔE to the lowest computed polymorph = 0.00 eV per formula unit
calculated total energy = -6.837 eV/atom
theoretical density = 10.0 g/cm3
E_form = -0.1118 eV per atom
total magnetic moment = 0.0 μB per cell

Lattice parameters (Å, degrees): 3.8611 3.8611 4.1425 90.00 90.00 90.00
Space group P4/mmm (No. 123)
One atom of each set of equivalent atoms:
Ti 0.0000 0.0000 0.0000 [1 per cell]
Ga 0.0000 0.5000 0.5000 [2 per cell]
W 0.5000 0.5000 0.0000 [1 per cell]



No. 5
Ti4Ga3W: optimized geometry, GGA-PBE.

calculated total energy = -7.071 eV/atom
theoretical density = 7.7 g/cm3
E_form = -0.3689 eV per atom
total magnetic moment = 0.0 μB per cell

Lattice parameters (Å, degrees): 6.2496 6.2769 12.9121 90.00 90.00 90.00
Space group Fmmm (No. 69)
One atom of each set of equivalent atoms:
Ti 0.2500 0.2500 0.1229 [16 per cell]
Ga 0.0000 0.0000 0.0000 [4 per cell]
Ga 0.0000 0.0000 0.2573 [8 per cell]
W 0.0000 0.0000 0.5000 [4 per cell]



No. 6
Ti7Ga2W: optimized geometry, GGA-PBE.

calculated total energy = -6.586 eV/atom
theoretical density = 5.3 g/cm3
E_form = 0.8410 eV per atom
total magnetic moment = 8.8 μB per cell

Lattice parameters (Å, degrees): 9.3782 9.3782 9.3782 90.00 90.00 90.00
Space group Fm-3m (No. 225)
One atom of each set of equivalent atoms:
Ti 0.0000 0.0000 0.0000 [4 per cell]
Ti 0.0000 0.0000 0.2464 [24 per cell]
Ga 0.2500 0.2500 0.2500 [8 per cell]
W 0.0000 0.0000 0.5000 [4 per cell]



No. 7
TiGa2W: optimized geometry, GGA-PBE.

ΔE to the lowest computed polymorph = 1.51 eV per formula unit
calculated total energy = -6.460 eV/atom
theoretical density = 9.1 g/cm3
E_form = 0.2654 eV per atom
total magnetic moment = 0.0 μB per cell

Lattice parameters (Å, degrees): 2.8213 2.8213 29.5935 90.00 90.00 120.00
Space group R-3m (No. 166, hexagonal axes)
One atom of each set of equivalent atoms:
Ti 0.0000 0.0000 0.0000 [3 per cell]
Ga 0.0000 0.0000 0.4104 [6 per cell]
W 0.0000 0.0000 0.5000 [3 per cell]



No. 8
Ti2Ga2W: optimized geometry, GGA-PBE.

calculated total energy = -7.256 eV/atom
theoretical density = 8.8 g/cm3
E_form = -0.2971 eV per atom
total magnetic moment = 0.0 μB per cell

Lattice parameters (Å, degrees): 6.8094 6.8094 3.4114 90.00 90.00 90.00
Space group P4/mbm (No. 127)
One atom of each set of equivalent atoms:
Ti 0.1768 0.3232 0.0000 [4 per cell]
Ga 0.1275 0.6275 0.5000 [4 per cell]
W 0.0000 0.0000 0.5000 [2 per cell]